VASP calculation (GGA-PBE) on a geometry-optimized BeNiS structure.

Properties
E_tot ... -29.50 eV for the cell shown
Formation energy (no corrections) ... -0.37 eV per atom

Lattice parameters (Å, degrees): 3.4126 2.9741 8.4365 90.00 90.09 90.00
Space group P2_1/m (No. 11)
Unique sites:
1 Be 0.2492 0.2500 0.3316 [2 per cell]
2 Ni 0.2506 0.2500 0.5916 [2 per cell]
3 S 0.2513 0.7500 0.7972 [2 per cell]